Entry 1:
Cs2InHgPd: relaxed, PBE-GGA.

For the total moment, the calculation gives 0.00 μB/f.u. The density of states at the Fermi level is 0.6580 states/eV/atom. The formation energy comes out at -0.09 eV per atom.

It has space group P4/mmm (No. 123), with a = 6.754 Å, b = 6.754 Å, c = 5.244 Å, α = 90.00°, β = 90.00° and γ = 90.00°. Symmetry generates all atoms from Cs at (0.000, 0.500, 0.000), In at (0.000, 0.000, 0.500), Hg at (0.500, 0.500, 0.500) and Pd at (0.000, 0.000, 0.000).

Entry 2:
NbV5Ga6: relaxed, PBE-GGA.

For the total moment, the calculation gives 0.00 μB/f.u. The density of states at the Fermi level is 0.6697 states/eV/atom. The formation energy comes out at -0.18 eV per atom.

It has space group P2/m (No. 10), with a = 4.836 Å, b = 5.376 Å, c = 6.703 Å, α = 90.00°, β = 93.08° and γ = 90.00°. Symmetry generates all atoms from Nb at (0.000, 0.000, 0.000), V at (0.000, 0.500, 0.000), V at (0.330, 0.500, 0.333), V at (0.342, 0.000, 0.336), Ga at (0.168, 0.253, 0.662) and Ga at (0.500, 0.257, 0.000).

Entry 3:
Lu2PuSb: relaxed, PBE-GGA.

For the total moment, the calculation gives 6.58 μB/f.u. The density of states at the Fermi level is 1.9305 states/eV/atom. The uncorrected formation energy comes out at -324 meV per atom.

It has space group P4/mmm (No. 123), with a = 3.880 Å, b = 3.880 Å, c = 7.131 Å, α = 90.00°, β = 90.00° and γ = 90.00°. Symmetry generates all atoms from Lu at (0.000, 0.000, 0.227), Pu at (0.500, 0.500, 0.500) and Sb at (0.500, 0.500, 0.000).

Entry 4:
Pr3SmMg: relaxed, PBE-GGA.

For the total moment, the calculation gives 0.00 μB/f.u. The density of states at the Fermi level is 1.2608 states/eV/atom. The formation energy comes out at -0.02 eV per atom.

It has space group C2/m (No. 12), with a = 19.962 Å, b = 3.795 Å, c = 9.103 Å, α = 90.00°, β = 103.98° and γ = 90.00°. Symmetry generates all atoms from Pr at (0.001, 0.000, 0.264), Pr at (0.187, 0.000, 0.373), Pr at (0.203, 0.000, 0.828), Sm at (0.100, 0.500, 0.043) and Mg at (0.094, 0.500, 0.558).

Entry 5:
CaPm2TmTl4: relaxed, PBE-GGA.

For the total moment, the calculation gives 0.00 μB/f.u. The density of states at the Fermi level is 0.6301 states/eV/atom. The formation energy comes out at -0.37 eV per atom.

It has space group R-3m (No. 166, hexagonal axes), with a = 5.4404 Å, b = 5.4404 Å, c = 26.7315 Å, α = 90.00°, β = 90.00° and γ = 120.00°. Symmetry generates all atoms from Ca at (0.0000, 0.0000, 0.0000), Pm at (0.0000, 0.0000, 0.2533), Tm at (0.0000, 0.0000, 0.5000), Tl at (0.0000, 0.0000, 0.1278) and Tl at (0.0000, 0.0000, 0.3783).

Entry 6:
ThNpTe2N: relaxed, PBE-GGA.

For the total moment, the calculation gives 3.95 μB/f.u. The density of states at the Fermi level is 1.7616 states/eV/atom. The uncorrected formation energy comes out at -1161 meV per atom.

It has space group P4/nmm (No. 129, origin choice 2), with a = 4.267 Å, b = 4.267 Å, c = 15.398 Å, α = 90.00°, β = 90.00° and γ = 90.00°. Symmetry generates all atoms from Th at (0.250, 0.250, 0.070), Np at (0.250, 0.250, 0.613), Te at (0.250, 0.250, 0.405), Te at (0.250, 0.250, 0.804) and N at (0.250, 0.750, 0.000).

Entry 7:
Na4Pu3PdSe8: relaxed, PBE-GGA.

For the total moment, the calculation gives 14.01 μB/f.u. The density of states at the Fermi level is 1.7755 states/eV/atom. The uncorrected formation energy comes out at -1176 meV per atom.

It has space group C2/m (No. 12), with a = 14.537 Å, b = 8.087 Å, c = 8.395 Å, α = 90.00°, β = 123.58° and γ = 90.00°. Symmetry generates all atoms from Na at (0.000, 0.000, 0.000), Na at (0.000, 0.500, 0.000), Na at (0.250, 0.250, 0.000), Pu at (0.000, 0.000, 0.500), Pu at (0.250, 0.250, 0.500), Pd at (0.000, 0.500, 0.500), Se at (0.010, 0.274, 0.291), Se at (0.232, 0.000, 0.249) and Se at (0.240, 0.000, 0.731).

Entry 8:
KBe2Hg: relaxed, PBE-GGA.

For the total moment, the calculation gives 0.00 μB/f.u. The density of states at the Fermi level is 0.4981 states/eV/atom. The formation energy comes out at 0.54 eV per atom.

It has space group I4_1/amd (No. 141, origin choice 2), with a = 4.712 Å, b = 4.712 Å, c = 17.179 Å, α = 90.00°, β = 90.00° and γ = 90.00°. Symmetry generates all atoms from K at (0.000, 0.250, 0.375), Be at (0.000, 0.000, 0.000) and Hg at (0.000, 0.250, 0.875).

Entry 9:
Ce2ErTm3As6: relaxed, PBE-GGA.

For the total moment, the calculation gives 1.24 μB/f.u. The density of states at the Fermi level is 0.9644 states/eV/atom. The formation energy comes out at -1.48 eV per atom.

It has space group C2/m (No. 12), with a = 17.926 Å, b = 4.123 Å, c = 8.231 Å, α = 90.00°, β = 103.16° and γ = 90.00°. Symmetry generates all atoms from Ce at (0.166, 0.000, 0.331), Er at (0.000, 0.500, 0.000), Tm at (0.000, 0.500, 0.500), Tm at (0.167, 0.000, 0.834), As at (0.002, 0.000, 0.750), As at (0.165, 0.500, 0.588) and As at (0.167, 0.500, 0.078).

Entry 10:
Ba2ZnIr: relaxed, PBE-GGA.

For the total moment, the calculation gives 0.00 μB/f.u. The density of states at the Fermi level is 0.8501 states/eV/atom. The formation energy comes out at 0.24 eV per atom.

It has space group I-42d (No. 122), with a = 8.653 Å, b = 8.653 Å, c = 7.384 Å, α = 90.00°, β = 90.00° and γ = 90.00°. Symmetry generates all atoms from Ba at (0.208, 0.250, 0.125), Zn at (0.000, 0.000, 0.500) and Ir at (0.000, 0.000, 0.000).